No. 1
Computed, not measured: crystalline Tb2BeO4 at its relaxed geometry at the PBE level of DFT.

```
data_Tb2BeO4
_symmetry_space_group_name_H-M 'P 1'
_symmetry_Int_Tables_number 1
_symmetry_space_group_name_Hall 'P 1'
_cell_length_a 6.324
_cell_length_b 6.324
_cell_length_c 6.324
_cell_angle_alpha 120.00
_cell_angle_beta 90.00
_cell_angle_gamma 120.00
loop_
_atom_site_label
_atom_site_type_symbol
_atom_site_fract_x
_atom_site_fract_y
_atom_site_fract_z
O1 O 0.631 0.262 0.369
O2 O 0.119 0.762 0.881
O3 O 0.107 0.738 0.369
O4 O 0.643 0.762 0.881
O5 O 0.631 0.262 0.893
O6 O 0.119 0.238 0.357
O7 O 0.631 0.738 0.369
O8 O 0.119 0.238 0.881
Be1 Be 0.750 0.500 0.250
Be2 Be 0.000 0.000 0.000
Tb1 Tb 0.375 0.250 0.625
Tb2 Tb 0.375 0.750 0.125
Tb3 Tb 0.375 0.750 0.625
Tb4 Tb 0.875 0.250 0.625
```

No. 2
Computed, not measured: crystalline BeTc2O4 at its relaxed geometry at the PBE level of DFT.

```
data_BeTc2O4
_symmetry_space_group_name_H-M 'P 1'
_symmetry_Int_Tables_number 1
_symmetry_space_group_name_Hall 'P 1'
_cell_length_a 5.681
_cell_length_b 5.681
_cell_length_c 5.681
_cell_angle_alpha 120.01
_cell_angle_beta 89.99
_cell_angle_gamma 120.01
loop_
_atom_site_label
_atom_site_type_symbol
_atom_site_fract_x
_atom_site_fract_y
_atom_site_fract_z
O1 O 0.635 0.270 0.365
O2 O 0.115 0.230 0.885
O3 O 0.655 0.770 0.885
O4 O 0.095 0.730 0.365
O5 O 0.115 0.770 0.885
O6 O 0.115 0.230 0.345
O7 O 0.635 0.270 0.905
O8 O 0.635 0.730 0.365
Tc1 Tc 0.875 0.250 0.625
Tc2 Tc 0.375 0.250 0.625
Tc3 Tc 0.375 0.750 0.125
Tc4 Tc 0.375 0.750 0.625
Be1 Be 0.000 0.000 0.000
Be2 Be 0.750 0.500 0.250
```

Computed values of calculated total energy (unit: eV/cell) for the preceding records, in sequence: -104.75 -110.17.